Rb2NbCuSn: optimized geometry, GGA-PBE.

CIF file:
```
data_Rb2NbCuSn
_chemical_formula_sum 'Rb2 Nb1 Cu1 Sn1'
_cell_length_a 6.199
_cell_length_b 5.159
_cell_length_c 6.199
_cell_angle_alpha 90.00
_cell_angle_beta 90.00
_cell_angle_gamma 90.00
_symmetry_space_group_name_H-M 'P 1'
_symmetry_Int_Tables_number 1
loop_
_symmetry_equiv_pos_as_xyz
'x,y,z'
loop_
_atom_site_label
_atom_site_fract_x
_atom_site_fract_y
_atom_site_fract_z
Nb1 0.000 0.500 0.000
Rb1 0.500 0.000 0.000
Sn1 0.500 0.500 0.500
Cu1 0.000 0.000 0.000
Rb2 0.000 0.000 0.500
```

Summary:
Formation energy from the elements = 5.5 eV/f.u.
SG = P4/mmm, No. 123